# 1
# PBE La2HgPt, relaxed
# **Fermi-level density of states**: 8.3 states/eV per cell
# **E**: -4.856 eV/atom
# **Formation energy from the elements**: -77.83 kJ/mol of atoms
data_La2HgPt
_space_group_name_H-M_alt 'R -3 m'
_space_group_IT_number 166
_space_group_name_Hall '-R 3 2"'
_cell_length_a 4.2200
_cell_length_b 4.2200
_cell_length_c 24.0694
_cell_angle_alpha 90.00
_cell_angle_beta 90.00
_cell_angle_gamma 120.00
loop_
_atom_site_label
_atom_site_type_symbol
_atom_site_fract_x
_atom_site_fract_y
_atom_site_fract_z
La1 La 0.0000 0.0000 0.2362
Hg1 Hg 0.0000 0.0000 0.0000
Pt1 Pt 0.0000 0.0000 0.5000

---

# 2
# PBE La4Hg3Pt, relaxed
# **Fermi-level density of states**: 8.1 states/eV per cell
# **E**: -3.982 eV/atom
# **Formation energy from the elements**: -62.70 kJ/mol of atoms
data_La4Hg3Pt
_space_group_name_H-M_alt 'P 4/m m m'
_space_group_IT_number 123
_space_group_name_Hall '-P 4 2'
_cell_length_a 3.828
_cell_length_b 3.828
_cell_length_c 15.566
_cell_angle_alpha 90.00
_cell_angle_beta 90.00
_cell_angle_gamma 90.00
loop_
_atom_site_label
_atom_site_type_symbol
_atom_site_fract_x
_atom_site_fract_y
_atom_site_fract_z
La1 La 0.000 0.000 0.108
La2 La 0.000 0.000 0.370
Hg1 Hg 0.500 0.500 0.245
Hg2 Hg 0.500 0.500 0.500
Pt1 Pt 0.500 0.500 0.000

---

# 3
# PBE La2HgPt, relaxed
# **Fermi-level density of states**: 3.9 states/eV per cell
# **E**: -4.846 eV/atom
# **Formation energy from the elements**: -76.87 kJ/mol of atoms
data_La2HgPt
_space_group_name_H-M_alt 'P 4/m m m'
_space_group_IT_number 123
_space_group_name_Hall '-P 4 2'
_cell_length_a 3.745
_cell_length_b 3.745
_cell_length_c 7.745
_cell_angle_alpha 90.00
_cell_angle_beta 90.00
_cell_angle_gamma 90.00
loop_
_atom_site_label
_atom_site_type_symbol
_atom_site_fract_x
_atom_site_fract_y
_atom_site_fract_z
La1 La 0.000 0.000 0.223
Hg1 Hg 0.500 0.500 0.500
Pt1 Pt 0.500 0.500 0.000

---

# 4
# PBE La2HgPt, relaxed
# **Fermi-level density of states**: 2.3 states/eV per cell
# **E**: -4.864 eV/atom
# **Formation energy from the elements**: -78.64 kJ/mol of atoms
data_La2HgPt
_space_group_name_H-M_alt 'P -3 m 1'
_space_group_IT_number 164
_space_group_name_Hall '-P 3 2"'
_cell_length_a 4.3315
_cell_length_b 4.3315
_cell_length_c 7.6986
_cell_angle_alpha 90.00
_cell_angle_beta 90.00
_cell_angle_gamma 120.00
loop_
_atom_site_label
_atom_site_type_symbol
_atom_site_fract_x
_atom_site_fract_y
_atom_site_fract_z
La1 La 0.3333 0.6667 0.2946
Hg1 Hg 0.0000 0.0000 0.0000
Pt1 Pt 0.0000 0.0000 0.5000

---

# 5
# PBE La3HgPt, relaxed
# **Fermi-level density of states**: 9.2 states/eV per cell
# **E**: -4.870 eV/atom
# **Energy above the most stable polymorph in this dataset**: 0.21 eV/f.u.
# **Formation energy from the elements**: -62.19 kJ/mol of atoms
data_La3HgPt
_space_group_name_H-M_alt 'P -1'
_space_group_IT_number 2
_cell_length_a 5.649
_cell_length_b 6.737
_cell_length_c 9.523
_cell_angle_alpha 95.92
_cell_angle_beta 107.03
_cell_angle_gamma 113.99
loop_
_space_group_symop_operation_xyz
'x,y,z'
'-x,-y,-z'
loop_
_atom_site_label
_atom_site_type_symbol
_atom_site_fract_x
_atom_site_fract_y
_atom_site_fract_z
La1 La 0.000 0.145 0.347
La2 La 0.210 0.827 0.081
La3 La 0.347 0.479 0.717
Hg1 Hg 0.341 0.751 0.439
Pt1 Pt 0.339 0.237 0.957

---

# 6
# PBE LaPu2HgPt2, relaxed
# **Fermi-level density of states**: 22.4 states/eV per cell
# **E**: -8.281 eV/atom
# **Formation energy from the elements**: -59.72 kJ/mol of atoms
data_LaPu2HgPt2
_space_group_name_H-M_alt 'P -3 m 1'
_space_group_IT_number 164
_space_group_name_Hall '-P 3 2"'
_cell_length_a 5.0937
_cell_length_b 5.0937
_cell_length_c 6.3623
_cell_angle_alpha 90.00
_cell_angle_beta 90.00
_cell_angle_gamma 120.00
loop_
_atom_site_label
_atom_site_type_symbol
_atom_site_fract_x
_atom_site_fract_y
_atom_site_fract_z
La1 La 0.0000 0.0000 0.0000
Pu1 Pu 0.3333 0.6667 0.7126
Hg1 Hg 0.0000 0.0000 0.5000
Pt1 Pt 0.3333 0.6667 0.2285

---

# 7
# PBE LaPuHgPt, relaxed
# **Fermi-level density of states**: 42.3 states/eV per cell
# **E**: -6.942 eV/atom
# **Formation energy from the elements**: -52.29 kJ/mol of atoms
data_LaPuHgPt
_space_group_name_H-M_alt 'F -4 3 m'
_space_group_IT_number 216
_space_group_name_Hall 'F -4 2 3'
_cell_length_a 7.419
_cell_length_b 7.419
_cell_length_c 7.419
_cell_angle_alpha 90.00
_cell_angle_beta 90.00
_cell_angle_gamma 90.00
loop_
_atom_site_label
_atom_site_type_symbol
_atom_site_fract_x
_atom_site_fract_y
_atom_site_fract_z
La1 La 0.000 0.000 0.000
Pu1 Pu 0.000 0.000 0.500
Hg1 Hg 0.250 0.250 0.750
Pt1 Pt 0.250 0.250 0.250

---

# 8
# PBE La2HgSb3Pt4, relaxed
# **Fermi-level density of states**: 5.6 states/eV per cell
# **E**: -5.488 eV/atom
# **E_form (uncorrected)**: -0.820 eV per atom
data_La2HgSb3Pt4
_space_group_name_H-M_alt 'P -4 m 2'
_space_group_IT_number 115
_cell_length_a 4.598
_cell_length_b 4.598
_cell_length_c 10.946
_cell_angle_alpha 90.00
_cell_angle_beta 90.00
_cell_angle_gamma 90.00
loop_
_space_group_symop_operation_xyz
'x,y,z'
'y,-x,-z'
'-x,-y,z'
'-y,x,-z'
'-x,y,z'
'-y,-x,-z'
'x,-y,z'
'y,x,-z'
loop_
_atom_site_label
_atom_site_type_symbol
_atom_site_fract_x
_atom_site_fract_y
_atom_site_fract_z
La1 La 0.000 0.500 0.239
Hg1 Hg 0.000 0.000 0.500
Sb1 Sb 0.000 0.500 0.872
Sb2 Sb 0.500 0.500 0.500
Pt1 Pt 0.000 0.000 0.000
Pt2 Pt 0.000 0.500 0.638
Pt3 Pt 0.500 0.500 0.000

---

# 9
# PBE LaHg2PtSe, relaxed
# **Fermi-level density of states**: 4.3 states/eV per cell
# **E**: -2.900 eV/atom
# **E_form (uncorrected)**: 0.111 eV per atom
data_LaHg2PtSe
_space_group_name_H-M_alt 'P 4/m m m'
_space_group_IT_number 123
_space_group_name_Hall '-P 4 2'
_cell_length_a 5.113
_cell_length_b 5.113
_cell_length_c 5.763
_cell_angle_alpha 90.00
_cell_angle_beta 90.00
_cell_angle_gamma 90.00
loop_
_atom_site_label
_atom_site_type_symbol
_atom_site_fract_x
_atom_site_fract_y
_atom_site_fract_z
La1 La 0.000 0.000 0.000
Hg1 Hg 0.000 0.500 0.500
Pt1 Pt 0.500 0.500 0.000
Se1 Se 0.000 0.000 0.500

---

# 10
# PBE La2Si4HgPt3, relaxed
# **Fermi-level density of states**: 3.6 states/eV per cell
# **E**: -5.925 eV/atom
# **E_form (uncorrected)**: -0.928 eV per atom
data_La2Si4HgPt3
_space_group_name_H-M_alt 'P -4 m 2'
_space_group_IT_number 115
_cell_length_a 4.356
_cell_length_b 4.356
_cell_length_c 10.096
_cell_angle_alpha 90.00
_cell_angle_beta 90.00
_cell_angle_gamma 90.00
loop_
_space_group_symop_operation_xyz
'x,y,z'
'y,-x,-z'
'-x,-y,z'
'-y,x,-z'
'-x,y,z'
'-y,-x,-z'
'x,-y,z'
'y,x,-z'
loop_
_atom_site_label
_atom_site_type_symbol
_atom_site_fract_x
_atom_site_fract_y
_atom_site_fract_z
La1 La 0.000 0.500 0.243
Si1 Si 0.000 0.000 0.000
Si2 Si 0.000 0.500 0.646
Si3 Si 0.500 0.500 0.000
Hg1 Hg 0.000 0.000 0.500
Pt1 Pt 0.000 0.500 0.886
Pt2 Pt 0.500 0.500 0.500

---

# 11
# PBE La2Si3HgPt12, relaxed
# **Fermi-level density of states**: 21.4 states/eV per cell
# **E**: -5.954 eV/atom
# **E_form (uncorrected)**: -0.458 eV per atom
data_La2Si3HgPt12
_space_group_name_H-M_alt 'R -3 m'
_space_group_IT_number 166
_space_group_name_Hall '-R 3 2"'
_cell_length_a 8.3448
_cell_length_b 8.3448
_cell_length_c 18.1446
_cell_angle_alpha 90.00
_cell_angle_beta 90.00
_cell_angle_gamma 120.00
loop_
_atom_site_label
_atom_site_type_symbol
_atom_site_fract_x
_atom_site_fract_y
_atom_site_fract_z
La1 La 0.0000 0.0000 0.1085
Si1 Si 0.0000 0.5000 0.0000
Hg1 Hg 0.0000 0.0000 0.5000
Pt1 Pt 0.0190 0.5095 0.8718
Pt2 Pt 0.0327 0.5163 0.3676

---

# 12
# PBE La2Sn3HgPt4, relaxed
# **Fermi-level density of states**: 5.3 states/eV per cell
# **E**: -5.436 eV/atom
# **Formation energy from the elements**: -77.48 kJ/mol of atoms
data_La2Sn3HgPt4
_space_group_name_H-M_alt 'P -4 m 2'
_space_group_IT_number 115
_cell_length_a 4.614
_cell_length_b 4.614
_cell_length_c 10.885
_cell_angle_alpha 90.00
_cell_angle_beta 90.00
_cell_angle_gamma 90.00
loop_
_space_group_symop_operation_xyz
'x,y,z'
'y,-x,-z'
'-x,-y,z'
'-y,x,-z'
'-x,y,z'
'-y,-x,-z'
'x,-y,z'
'y,x,-z'
loop_
_atom_site_label
_atom_site_type_symbol
_atom_site_fract_x
_atom_site_fract_y
_atom_site_fract_z
La1 La 0.000 0.500 0.247
Sn1 Sn 0.000 0.500 0.875
Sn2 Sn 0.500 0.500 0.500
Hg1 Hg 0.000 0.000 0.500
Pt1 Pt 0.000 0.000 0.000
Pt2 Pt 0.000 0.500 0.638
Pt3 Pt 0.500 0.500 0.000

---

# 13
# PBE La2Sn4HgPt3, relaxed
# **Fermi-level density of states**: 5.2 states/eV per cell
# **E**: -5.199 eV/atom
# **Formation energy from the elements**: -74.30 kJ/mol of atoms
data_La2Sn4HgPt3
_space_group_name_H-M_alt 'P -4 m 2'
_space_group_IT_number 115
_cell_length_a 4.675
_cell_length_b 4.675
_cell_length_c 10.940
_cell_angle_alpha 90.00
_cell_angle_beta 90.00
_cell_angle_gamma 90.00
loop_
_space_group_symop_operation_xyz
'x,y,z'
'y,-x,-z'
'-x,-y,z'
'-y,x,-z'
'-x,y,z'
'-y,-x,-z'
'x,-y,z'
'y,x,-z'
loop_
_atom_site_label
_atom_site_type_symbol
_atom_site_fract_x
_atom_site_fract_y
_atom_site_fract_z
La1 La 0.000 0.500 0.248
Sn1 Sn 0.000 0.000 0.500
Sn2 Sn 0.000 0.500 0.860
Sn3 Sn 0.500 0.500 0.500
Hg1 Hg 0.500 0.500 0.000
Pt1 Pt 0.000 0.000 0.000
Pt2 Pt 0.000 0.500 0.622

---

# 14
# PBE SrLaHgPt, relaxed
# **Fermi-level density of states**: 10.9 states/eV per cell
# **E**: -3.926 eV/atom
# **Formation energy from the elements**: -66.37 kJ/mol of atoms
data_SrLaHgPt
_space_group_name_H-M_alt 'F -4 3 m'
_space_group_IT_number 216
_space_group_name_Hall 'F -4 2 3'
_cell_length_a 7.581
_cell_length_b 7.581
_cell_length_c 7.581
_cell_angle_alpha 90.00
_cell_angle_beta 90.00
_cell_angle_gamma 90.00
loop_
_atom_site_label
_atom_site_type_symbol
_atom_site_fract_x
_atom_site_fract_y
_atom_site_fract_z
Sr1 Sr 0.000 0.000 0.000
La1 La 0.000 0.000 0.500
Hg1 Hg 0.250 0.250 0.750
Pt1 Pt 0.250 0.250 0.250

---

# 15
# PBE Sr2LaHgPt, relaxed
# **Fermi-level density of states**: 3.9 states/eV per cell
# **E**: -3.405 eV/atom
# **Formation energy from the elements**: -46.19 kJ/mol of atoms
data_Sr2LaHgPt
_space_group_name_H-M_alt 'P 4/m m m'
_space_group_IT_number 123
_space_group_name_Hall '-P 4 2'
_cell_length_a 5.967
_cell_length_b 5.967
_cell_length_c 5.516
_cell_angle_alpha 90.00
_cell_angle_beta 90.00
_cell_angle_gamma 90.00
loop_
_atom_site_label
_atom_site_type_symbol
_atom_site_fract_x
_atom_site_fract_y
_atom_site_fract_z
Sr1 Sr 0.000 0.500 0.000
La1 La 0.000 0.000 0.500
Hg1 Hg 0.500 0.500 0.500
Pt1 Pt 0.000 0.000 0.000

---

# 16
# PBE LaTbHgPt, relaxed
# **Fermi-level density of states**: 13.9 states/eV per cell
# **E**: -4.724 eV/atom
# **Formation energy from the elements**: -72.31 kJ/mol of atoms
data_LaTbHgPt
_space_group_name_H-M_alt 'F -4 3 m'
_space_group_IT_number 216
_space_group_name_Hall 'F -4 2 3'
_cell_length_a 7.406
_cell_length_b 7.406
_cell_length_c 7.406
_cell_angle_alpha 90.00
_cell_angle_beta 90.00
_cell_angle_gamma 90.00
loop_
_atom_site_label
_atom_site_type_symbol
_atom_site_fract_x
_atom_site_fract_y
_atom_site_fract_z
La1 La 0.000 0.000 0.000
Tb1 Tb 0.000 0.000 0.500
Hg1 Hg 0.250 0.250 0.750
Pt1 Pt 0.250 0.250 0.250

---

# 17
# PBE La2TlHgPt, relaxed
# **Fermi-level density of states**: 6.7 states/eV per cell
# **E**: -3.222 eV/atom
# **Formation energy from the elements**: 47.37 kJ/mol of atoms
data_La2TlHgPt
_space_group_name_H-M_alt 'P 4/m m m'
_space_group_IT_number 123
_space_group_name_Hall '-P 4 2'
_cell_length_a 6.028
_cell_length_b 6.028
_cell_length_c 5.162
_cell_angle_alpha 90.00
_cell_angle_beta 90.00
_cell_angle_gamma 90.00
loop_
_atom_site_label
_atom_site_type_symbol
_atom_site_fract_x
_atom_site_fract_y
_atom_site_fract_z
La1 La 0.000 0.500 0.000
Tl1 Tl 0.000 0.000 0.000
Hg1 Hg 0.000 0.000 0.500
Pt1 Pt 0.500 0.500 0.500

---

# 18
# PBE LaTlHg2Pt, relaxed
# **Fermi-level density of states**: 3.0 states/eV per cell
# **E**: -2.913 eV/atom
# **Formation energy from the elements**: -12.06 kJ/mol of atoms
data_LaTlHg2Pt
_space_group_name_H-M_alt 'P 4/m m m'
_space_group_IT_number 123
_space_group_name_Hall '-P 4 2'
_cell_length_a 5.230
_cell_length_b 5.230
_cell_length_c 5.215
_cell_angle_alpha 90.00
_cell_angle_beta 90.00
_cell_angle_gamma 90.00
loop_
_atom_site_label
_atom_site_type_symbol
_atom_site_fract_x
_atom_site_fract_y
_atom_site_fract_z
La1 La 0.000 0.000 0.000
Tl1 Tl 0.500 0.500 0.000
Hg1 Hg 0.000 0.500 0.500
Pt1 Pt 0.500 0.500 0.500

---

# 19
# PBE LaY2HgPt, relaxed
# **Fermi-level density of states**: 7.0 states/eV per cell
# **E**: -4.611 eV/atom
# **Formation energy from the elements**: 22.05 kJ/mol of atoms
data_LaY2HgPt
_space_group_name_H-M_alt 'P 4/m m m'
_space_group_IT_number 123
_space_group_name_Hall '-P 4 2'
_cell_length_a 5.571
_cell_length_b 5.571
_cell_length_c 5.157
_cell_angle_alpha 90.00
_cell_angle_beta 90.00
_cell_angle_gamma 90.00
loop_
_atom_site_label
_atom_site_type_symbol
_atom_site_fract_x
_atom_site_fract_y
_atom_site_fract_z
La1 La 0.000 0.000 0.000
Y1 Y 0.000 0.500 0.500
Hg1 Hg 0.500 0.500 0.500
Pt1 Pt 0.500 0.500 0.000

---

# 20
# PBE La2ZnHgPt, relaxed
# **Fermi-level density of states**: 8.4 states/eV per cell
# **E**: -4.203 eV/atom
# **Energy above the most stable polymorph in this dataset**: 0.00 eV/f.u.
# **Formation energy from the elements**: -68.38 kJ/mol of atoms
data_La2ZnHgPt
_space_group_name_H-M_alt 'P 1 21/m 1'
_space_group_IT_number 11
_cell_length_a 7.519
_cell_length_b 4.652
_cell_length_c 7.802
_cell_angle_alpha 90.00
_cell_angle_beta 109.05
_cell_angle_gamma 90.00
loop_
_space_group_symop_operation_xyz
'x,y,z'
'-x,-y,-z'
'-x,y+1/2,-z'
'x,-y+1/2,z'
loop_
_atom_site_label
_atom_site_type_symbol
_atom_site_fract_x
_atom_site_fract_y
_atom_site_fract_z
La1 La 0.135 0.250 0.345
La2 La 0.291 0.250 0.949
Zn1 Zn 0.449 0.750 0.328
Hg1 Hg 0.328 0.750 0.654
Pt1 Pt 0.118 0.750 0.084